[1]
# Ca2MgRu GGA-PBEsol relaxed
# Electronic total energy: -15.54 eV per cell
# Crystal system: tetragonal
data_Ca2MgRu
_chemical_formula_sum 'Ca2 Mg1 Ru1'
_symmetry_space_group_name_H-M 'P 4 m m'
_symmetry_Int_Tables_number 99
_cell_length_a 3.5086
_cell_length_b 3.5086
_cell_length_c 8.0087
_cell_angle_alpha 90.00
_cell_angle_beta 90.00
_cell_angle_gamma 90.00
loop_
_symmetry_equiv_pos_as_xyz
'x,y,z'
'-y,x,z'
'-x,-y,z'
'y,-x,z'
'-x,y,z'
'y,x,z'
'x,-y,z'
'-y,-x,z'
loop_
_atom_site_label
_atom_site_type_symbol
_atom_site_fract_x
_atom_site_fract_y
_atom_site_fract_z
Ca1 Ca 0.0000 0.0000 0.0000
Ca2 Ca 0.5000 0.5000 0.3917
Mg1 Mg 0.0000 0.0000 0.6457
Ru1 Ru 0.5000 0.5000 0.7688

[2]
# CaMgRu2 GGA-PBEsol relaxed
# Electronic total energy: -45.96 eV per cell
# Crystal system: monoclinic
data_CaMgRu2
_chemical_formula_sum 'Ca2 Mg2 Ru4'
_symmetry_space_group_name_H-M 'C 1 m 1'
_symmetry_Int_Tables_number 8
_cell_length_a 10.7272
_cell_length_b 2.9356
_cell_length_c 4.8345
_cell_angle_alpha 90.00
_cell_angle_beta 112.21
_cell_angle_gamma 90.00
loop_
_symmetry_equiv_pos_as_xyz
'x,y,z'
'x,-y,z'
'x+1/2,y+1/2,z'
'x+1/2,-y+1/2,z'
loop_
_atom_site_label
_atom_site_type_symbol
_atom_site_fract_x
_atom_site_fract_y
_atom_site_fract_z
Ca1 Ca 0.0000 0.0000 0.0000
Mg1 Mg 0.2097 0.0000 0.6727
Ru1 Ru 0.2649 0.5000 0.2238
Ru2 Ru 0.4648 0.0000 0.4719

[3]
# Ca2MgRu GGA-PBEsol relaxed
# Electronic total energy: -14.86 eV per cell
# Crystal system: tetragonal
data_Ca2MgRu
_chemical_formula_sum 'Ca2 Mg1 Ru1'
_symmetry_space_group_name_H-M 'P 4/m m m'
_symmetry_Int_Tables_number 123
_symmetry_space_group_name_Hall '-P 4 2'
_cell_length_a 4.8601
_cell_length_b 4.8601
_cell_length_c 3.8560
_cell_angle_alpha 90.00
_cell_angle_beta 90.00
_cell_angle_gamma 90.00
loop_
_atom_site_label
_atom_site_type_symbol
_atom_site_fract_x
_atom_site_fract_y
_atom_site_fract_z
Ca1 Ca 0.0000 0.5000 0.0000
Mg1 Mg 0.0000 0.0000 0.5000
Ru1 Ru 0.5000 0.5000 0.5000

| no. | total magnetic moment (μB per cell) | energy relative to the elements (meV per atom) |
| --- | --- | --- |
| 1 | 0.00 | 153 |
| 2 | 0.00 | 304 |
| 3 | 0.00 | 324 |